(1)
{"formula": "GdYSnPt", "functional": "PBE", "state": "relaxed", "lattice_angstrom": [[5.1720, 0.0000, 0.0000], [2.5860, 4.4790, 0.0000], [2.5860, 1.4930, 4.2229]], "species": ["Sn", "Gd", "Y", "Pt"], "fractional_positions": [[0.2500, 0.2500, 0.2500], [0.0000, 0.0000, 0.0000], [0.5000, 0.5000, 0.5000], [0.7500, 0.7500, 0.7500]], "e_tot_ev_per_atom": -8.50}

=====

(2)
{"formula": "Y2HgOs", "functional": "PBE", "state": "relaxed", "lattice_angstrom": [[-5.3976, 1.1288, 5.7938], [1.4062, -7.3790, 2.7477], [0.2104, -2.0196, 6.1106]], "species": ["Y", "Os", "Hg", "Os", "Y", "Y", "Hg", "Y"], "fractional_positions": [[0.1678, 0.6250, 0.2500], [0.2500, 0.7500, 0.5000], [0.0000, 0.0000, 0.0000], [0.5000, 0.5000, 0.0000], [0.5822, 0.1250, 0.2500], [0.3750, 0.4178, 0.7500], [0.7500, 0.2500, 0.5000], [0.8750, 0.8322, 0.7500]], "e_tot_ev_per_atom": -5.96}

=====

(3)
{"formula": "TmTl2Pd6", "functional": "PBE", "state": "relaxed", "lattice_angstrom": [[-1.9438, -1.9910, 3.2570], [1.6291, -4.6392, 0.9534], [6.0631, 0.1371, 6.5194]], "species": ["Tm", "Pd", "Pd", "Pd", "Tl", "Tl", "Pd", "Pd", "Pd"], "fractional_positions": [[0.0000, 0.5000, 0.5000], [0.3407, 0.9263, 0.3923], [0.6593, 0.0737, 0.6077], [0.9861, 0.1952, 0.8326], [0.6919, 0.3624, 0.2538], [0.3081, 0.6376, 0.7462], [0.6553, 0.7466, 0.9428], [0.0139, 0.8048, 0.1674], [0.3447, 0.2534, 0.0572]], "e_tot_ev_per_atom": -4.90}

=====

(4)
{"formula": "CdBi", "functional": "PBE", "state": "relaxed", "lattice_angstrom": [[-3.2862, -0.1417, -0.6681], [-1.2700, -2.9462, 2.1703], [-2.5147, 2.9676, 3.0586]], "species": ["Cd", "Bi"], "fractional_positions": [[0.6980, 0.7723, 0.6748], [0.9111, 0.2661, 0.1481]], "e_tot_ev_per_atom": -2.32}

=====

(5)
{"formula": "SnAs2PBr", "functional": "PBE", "state": "relaxed", "lattice_angstrom": [[4.8473, 0.0000, 0.0000], [0.0000, 4.8473, 0.0000], [0.0000, 0.0000, 5.1799]], "species": ["As", "Sn", "P", "Br", "As"], "fractional_positions": [[0.0000, 0.5000, 0.0000], [0.5000, 0.5000, 0.5000], [0.0000, 0.0000, 0.0000], [0.0000, 0.0000, 0.5000], [0.5000, 0.0000, 0.0000]], "raw_formation_energy_kcal_per_mol_atoms": 10.44, "de_polymorph_kj_per_mol_atoms": 0.0}

=====

(6)
{"formula": "KScSb", "functional": "PBE", "state": "relaxed", "lattice_angstrom": [[-2.2863, 1.2284, -4.5148], [-0.1912, -3.4937, -3.8571], [-4.5392, -2.1953, -1.3020]], "species": ["K", "Sb", "Sc"], "fractional_positions": [[0.5000, 0.5000, 0.5000], [0.7500, 0.7500, 0.7500], [0.0000, 0.0000, 0.0000]], "raw_formation_energy_kcal_per_mol_atoms": -3.39}

=====

(7)
{"formula": "CsK2SrLi", "functional": "PBE", "state": "relaxed", "lattice_angstrom": [[7.0300, 0.0000, 0.0000], [0.0000, 7.0300, 0.0000], [0.0000, 0.0000, 6.9350]], "species": ["K", "K", "Li", "Cs", "Sr"], "fractional_positions": [[0.0000, 0.5000, 0.0000], [0.5000, 0.0000, 0.0000], [0.0000, 0.0000, 0.0000], [0.5000, 0.5000, 0.5000], [0.0000, 0.0000, 0.5000]], "e_tot_ev_per_atom": -1.16}

=====

(8)
{"formula": "Tb3HgSeCl", "functional": "PBE", "state": "relaxed", "lattice_angstrom": [[3.9196, 0.0000, 0.0000], [0.0000, 8.6895, -1.5966], [0.0000, -4.4129, 10.4454]], "species": ["Hg", "Tb", "Tb", "Se", "Hg", "Tb", "Tb", "Cl", "Se", "Tb", "Cl", "Tb"], "fractional_positions": [[0.2500, 0.2860, 0.2396], [0.7500, 0.3205, 0.4769], [0.2500, 0.4908, 0.8328], [0.7500, 0.2720, 0.8624], [0.7500, 0.7140, 0.7604], [0.7500, 0.5092, 0.1672], [0.7500, 0.9312, 0.0971], [0.7500, 0.8173, 0.4412], [0.2500, 0.7280, 0.1376], [0.2500, 0.6795, 0.5231], [0.2500, 0.1827, 0.5588], [0.2500, 0.0688, 0.9029]], "raw_formation_energy_kcal_per_mol_atoms": -27.39}

=====

(9)
{"formula": "Mn3TeMo", "functional": "PBE", "state": "relaxed", "lattice_angstrom": [[-3.5150, 0.6847, -3.0103], [-3.0468, -0.0337, 3.5499], [0.4979, 4.6278, 0.4713]], "species": ["Mo", "Mn", "Te", "Mn", "Mn"], "fractional_positions": [[0.0000, 0.0000, 0.0000], [0.0000, 0.5000, 0.0000], [0.5000, 0.5000, 0.5000], [0.5000, 0.0000, 0.0000], [0.0000, 0.0000, 0.5000]], "raw_formation_energy_kcal_per_mol_atoms": 26.44, "de_polymorph_kj_per_mol_atoms": 0.0}

=====

(10)
{"formula": "SnHgTe2N", "functional": "PBE", "state": "relaxed", "lattice_angstrom": [[-5.6100, -1.0896, -1.1119], [0.8967, -5.6608, 1.0230], [-0.9137, 0.5848, 4.0369]], "species": ["Te", "Te", "Sn", "Hg", "N"], "fractional_positions": [[0.0000, 0.5000, 0.0000], [0.5000, 0.0000, 0.0000], [0.5000, 0.5000, 0.5000], [0.0000, 0.0000, 0.0000], [0.0000, 0.0000, 0.5000]], "raw_formation_energy_kcal_per_mol_atoms": 21.71, "de_polymorph_kj_per_mol_atoms": 18.7}

=====

(11)
{"formula": "NaSrAcEu", "functional": "PBE", "state": "relaxed", "lattice_angstrom": [[-0.3864, 1.1802, -6.2380], [-5.6650, 1.0578, -2.6916], [-1.5099, 5.8300, -2.0460]], "species": ["Ac", "Sr", "Na", "Eu"], "fractional_positions": [[0.5000, 0.5000, 0.5000], [0.7500, 0.7500, 0.7500], [0.0000, 0.0000, 0.0000], [0.2500, 0.2500, 0.2500]], "e_tot_ev_per_atom": -4.15}

=====

(12)
{"formula": "Co2P3", "functional": "PBE", "state": "relaxed", "lattice_angstrom": [[0.0000, 5.3236, 7.3358], [1.6303, 0.0000, 7.3358], [1.6303, 5.3236, 0.0000]], "species": ["P", "Co", "P", "P", "Co", "P", "Co", "Co", "P", "P"], "fractional_positions": [[0.3102, 0.1898, 0.1898], [0.8042, 0.2732, 0.5286], [0.5380, 0.7486, 0.5097], [0.2037, 0.5097, 0.7486], [0.9768, 0.4458, 0.8560], [0.7403, 0.0463, 0.7120], [0.7214, 0.8560, 0.4458], [0.3940, 0.5286, 0.2732], [0.5014, 0.7120, 0.0463], [0.0602, 0.9398, 0.9398]], "de_polymorph_kj_per_mol_atoms": 22.6}

=====

(13)
{"formula": "PmCoH4", "functional": "PBE", "state": "relaxed", "lattice_angstrom": [[4.3245, -1.5679, 0.0000], [-2.7809, 5.8304, 0.0013], [-0.7714, -2.1299, 5.1196]], "species": ["H", "H", "H", "Pm", "H", "H", "H", "H", "Co", "H", "Co", "Pm"], "fractional_positions": [[0.1337, 0.8838, 0.3207], [0.3276, 0.9143, 0.8285], [0.6874, 0.4374, 0.3214], [0.6122, 0.3622, 0.7241], [0.6724, 0.0857, 0.1715], [0.9991, 0.0858, 0.1714], [0.8663, 0.1162, 0.6793], [0.3126, 0.5626, 0.6786], [0.3141, 0.0641, 0.1272], [0.0009, 0.9142, 0.8286], [0.6859, 0.9359, 0.8728], [0.3878, 0.6378, 0.2759]], "de_polymorph_kj_per_mol_atoms": 8.8}

=====

(14)
{"formula": "Tb2SmYS6", "functional": "PBE", "state": "relaxed", "lattice_angstrom": [[-3.1337, -5.1709, 3.4869], [3.8336, -4.8007, 3.3129], [0.1759, 0.1700, 7.3967]], "species": ["Sm", "Tb", "Tb", "S", "S", "S", "S", "S", "S", "Y"], "fractional_positions": [[0.8128, 0.8128, 0.5616], [0.0158, 0.0159, 0.9525], [0.5178, 0.5178, 0.4466], [0.7174, 0.1240, 0.7509], [0.9170, 0.6146, 0.2498], [0.6146, 0.2187, 0.2497], [0.2187, 0.9170, 0.2497], [0.1240, 0.4078, 0.7509], [0.4077, 0.7174, 0.7508], [0.3158, 0.3158, 0.0527]], "raw_formation_energy_kcal_per_mol_atoms": -47.34}

=====

(15)
{"formula": "SrZnCr3", "functional": "PBE", "state": "relaxed", "lattice_angstrom": [[5.0902, 0.0000, 0.0000], [0.0000, 5.0902, 0.0000], [0.0000, 0.0000, 5.0902]], "species": ["Sr", "Cr", "Cr", "Cr", "Zn"], "fractional_positions": [[0.0000, 0.0000, 0.0000], [0.0000, 0.5000, 0.0000], [0.5000, 0.0000, 0.0000], [0.0000, 0.0000, 0.5000], [0.5000, 0.5000, 0.5000]], "de_polymorph_kj_per_mol_atoms": 133.6}

=====

(16)
{"formula": "KTl4Hg15", "functional": "PBE", "state": "relaxed", "lattice_angstrom": [[-3.1647, 0.2780, -3.9264], [-1.5053, -4.7406, 0.8776], [-16.3101, 7.7140, 13.6925]], "species": ["Tl", "Hg", "Hg", "Hg", "Hg", "Hg", "Hg", "Tl", "Tl", "Tl", "Hg", "Hg", "Hg", "Hg", "Hg", "Hg", "Hg", "Hg", "Hg", "K"], "fractional_positions": [[0.0000, 0.0000, 0.3993], [0.5000, 0.5000, 0.5994], [0.0000, 0.5000, 0.3035], [0.0000, 0.5000, 0.5000], [0.5000, 0.5000, 0.4006], [0.5000, 0.0000, 0.8923], [0.5000, 0.0000, 0.1077], [0.0000, 0.0000, 0.6007], [0.0000, 0.0000, 0.7892], [0.0000, 0.0000, 0.2108], [0.5000, 0.5000, 0.7956], [0.0000, 0.5000, 0.1077], [0.0000, 0.5000, 0.8923], [0.5000, 0.5000, 0.0000], [0.5000, 0.0000, 0.3035], [0.5000, 0.5000, 0.2044], [0.5000, 0.0000, 0.6965], [0.5000, 0.0000, 0.5000], [0.0000, 0.5000, 0.6965], [0.0000, 0.0000, 0.0000]], "e_tot_ev_per_atom": -0.82}

=====

(17)
{"formula": "Cs2AlCl5", "functional": "PBE", "state": "relaxed", "lattice_angstrom": [[-6.3268, -4.0217, -6.9225], [-4.7193, -5.5251, 7.5231], [-5.1322, 11.3303, 5.1016]], "species": ["Cl", "Cl", "Cs", "Cl", "Cl", "Cl", "Cl", "Cl", "Cl", "Al", "Cs", "Cl", "Cs", "Cl", "Cl", "Al", "Cl", "Cs", "Cs", "Al", "Cl", "Cl", "Cl", "Cs", "Cl", "Cl", "Cs", "Cl", "Cs", "Al", "Cl", "Cl"], "fractional_positions": [[0.1153, 0.0385, 0.6888], [0.7530, 0.0249, 0.6258], [0.7795, 0.3869, 0.9850], [0.5435, 0.1480, 0.8862], [0.3847, 0.5385, 0.3112], [0.5204, 0.3677, 0.1440], [0.9796, 0.8677, 0.8560], [0.2530, 0.4751, 0.6258], [0.4565, 0.8520, 0.1138], [0.5540, 0.4165, 0.3067], [0.0855, 0.6551, 0.3748], [0.2470, 0.9751, 0.3742], [0.9145, 0.3449, 0.6252], [0.5686, 0.2478, 0.4022], [0.0435, 0.3520, 0.8862], [0.4460, 0.5835, 0.6933], [0.4314, 0.7522, 0.5978], [0.2795, 0.1131, 0.9850], [0.5855, 0.8449, 0.3748], [0.0540, 0.0835, 0.3067], [0.0686, 0.2522, 0.4022], [0.0204, 0.1323, 0.1440], [0.6153, 0.4615, 0.6888], [0.2205, 0.6131, 0.0150], [0.9314, 0.7478, 0.5978], [0.8847, 0.9615, 0.3112], [0.4145, 0.1551, 0.6252], [0.7470, 0.5249, 0.3742], [0.7205, 0.8869, 0.0150], [0.9460, 0.9165, 0.6933], [0.9565, 0.6480, 0.1138], [0.4796, 0.6323, 0.8560]], "raw_formation_energy_kcal_per_mol_atoms": -42.28, "de_polymorph_kj_per_mol_atoms": 0.0}

=====

(18)
{"formula": "FeCoRe", "functional": "PBE", "state": "relaxed", "lattice_angstrom": [[-2.7199, -1.3911, 2.7654], [3.2904, -2.2793, -0.9793], [2.5975, 2.1807, 3.6516]], "species": ["Fe", "Fe", "Co", "Re", "Co", "Re"], "fractional_positions": [[0.0000, 0.0000, 0.5000], [0.0000, 0.0000, 0.0000], [0.3331, 0.6669, 0.7500], [0.3335, 0.6665, 0.2500], [0.6669, 0.3331, 0.2500], [0.6665, 0.3335, 0.7500]], "de_polymorph_kj_per_mol_atoms": 12.1}

=====

(19)
{"formula": "La2DyTmS4", "functional": "PBE", "state": "relaxed", "lattice_angstrom": [[-1.3810, -3.6966, -0.1053], [6.2165, -2.2688, -1.8836], [-0.3862, -0.0578, 7.0969]], "species": ["S", "La", "S", "Tm", "La", "S", "S", "Dy"], "fractional_positions": [[0.5000, 0.7617, 0.7751], [0.5000, 0.0000, 0.5000], [0.5000, 0.2383, 0.2249], [0.0000, 0.0000, 0.0000], [0.0000, 0.5000, 0.5000], [0.0000, 0.2550, 0.7731], [0.0000, 0.7450, 0.2269], [0.5000, 0.5000, 0.0000]], "raw_formation_energy_kcal_per_mol_atoms": -47.79}

=====

(20)
{"formula": "Ca2PPt2", "functional": "PBE", "state": "relaxed", "lattice_angstrom": [[8.3960, 0.0000, 0.0000], [0.0000, 8.3960, 0.0000], [0.0000, 0.0000, 3.0606]], "species": ["Pt", "Pt", "Ca", "Ca", "P", "Pt", "Pt", "Ca", "P", "Ca"], "fractional_positions": [[0.8823, 0.3823, 0.5000], [0.3823, 0.1177, 0.5000], [0.6779, 0.1779, 0.0000], [0.3221, 0.8221, 0.0000], [0.5000, 0.5000, 0.0000], [0.1177, 0.6177, 0.5000], [0.6177, 0.8823, 0.5000], [0.1779, 0.3221, 0.0000], [0.0000, 0.0000, 0.0000], [0.8221, 0.6779, 0.0000]], "de_polymorph_kj_per_mol_atoms": 67.8}

=====

Number 1: total magnetic moment 7.1 μB/f.u.. Number 2: total magnetic moment 0.0 μB/f.u.. Number 3: total magnetic moment 0.0 μB/f.u.. Number 4: total magnetic moment 0.0 μB/f.u.. Number 5: total magnetic moment 0.0 μB/f.u.. Number 6: total magnetic moment 0.0 μB/f.u.. Number 7: total magnetic moment 0.0 μB/f.u.. Number 8: total magnetic moment 0.0 μB/f.u.. Number 9: total magnetic moment 8.0 μB/f.u.. Number 10: total magnetic moment 1.8 μB/f.u.. Number 11: total magnetic moment 7.9 μB/f.u.. Number 12: total magnetic moment 0.0 μB/f.u.. Number 13: total magnetic moment 0.0 μB/f.u.. Number 14: total magnetic moment 0.0 μB/f.u.. Number 15: total magnetic moment 12.0 μB/f.u.. Number 16: total magnetic moment 0.0 μB/f.u.. Number 17: total magnetic moment 0.1 μB/f.u.. Number 18: total magnetic moment 1.3 μB/f.u.. Number 19: total magnetic moment 0.0 μB/f.u.. Number 20: total magnetic moment 0.0 μB/f.u..